*1*
# NdLu2Pa, relaxed, DFT GGA-PBE
# Total magnetic moment, μB/atom: 0.000
data_NdLu2Pa
_chemical_formula_sum 'Nd1 Lu2 Pa1'
_space_group_name_H-M_alt 'P 1'
_space_group_IT_number 1
_cell_length_a 3.314
_cell_length_b 3.314
_cell_length_c 12.364
_cell_angle_alpha 82.30
_cell_angle_beta 82.30
_cell_angle_gamma 60.00
loop_
_space_group_symop_operation_xyz
'x,y,z'
loop_
_atom_site_label
_atom_site_fract_x
_atom_site_fract_y
_atom_site_fract_z
Nd1 0.500 0.500 0.500
Pa1 0.000 0.000 0.000
Lu1 0.087 0.087 0.740
Lu2 0.913 0.913 0.260

***

*2*
# NdLu2Pa, relaxed, DFT GGA-PBE
# Total magnetic moment, μB/atom: 0.079
data_NdLu2Pa
_chemical_formula_sum 'Nd1 Lu2 Pa1'
_space_group_name_H-M_alt 'P 1'
_space_group_IT_number 1
_cell_length_a 3.432
_cell_length_b 3.432
_cell_length_c 9.948
_cell_angle_alpha 90.00
_cell_angle_beta 90.00
_cell_angle_gamma 90.00
loop_
_space_group_symop_operation_xyz
'x,y,z'
loop_
_atom_site_label
_atom_site_fract_x
_atom_site_fract_y
_atom_site_fract_z
Nd1 0.500 0.500 0.500
Pa1 0.500 0.500 0.000
Lu1 0.000 0.000 0.770
Lu2 0.000 0.000 0.230

***

Energies, relative to the best one, in kJ/mol of atoms: *1* 17.1; *2* 0.0.

***

*1*
# NdLuPa, relaxed, DFT GGA-PBE
# Total magnetic moment, μB/atom: 0.000
data_NdLuPa
_chemical_formula_sum 'Nd1 Lu1 Pa1'
_space_group_name_H-M_alt 'P 1'
_space_group_IT_number 1
_cell_length_a 3.427
_cell_length_b 3.427
_cell_length_c 8.603
_cell_angle_alpha 90.00
_cell_angle_beta 90.00
_cell_angle_gamma 120.00
loop_
_space_group_symop_operation_xyz
'x,y,z'
loop_
_atom_site_label
_atom_site_fract_x
_atom_site_fract_y
_atom_site_fract_z
Pa1 0.000 0.000 0.005
Nd1 0.333 0.667 0.678
Lu1 0.667 0.333 0.317

***

*2*
# NdLuPa, relaxed, DFT GGA-PBE
# Total magnetic moment, μB/atom: 0.002
data_NdLuPa
_chemical_formula_sum 'Nd1 Lu1 Pa1'
_space_group_name_H-M_alt 'P 1'
_space_group_IT_number 1
_cell_length_a 3.405
_cell_length_b 3.405
_cell_length_c 8.003
_cell_angle_alpha 102.28
_cell_angle_beta 102.28
_cell_angle_gamma 90.00
loop_
_space_group_symop_operation_xyz
'x,y,z'
loop_
_atom_site_label
_atom_site_fract_x
_atom_site_fract_y
_atom_site_fract_z
Pa1 0.330 0.330 0.661
Nd1 0.991 0.991 0.982
Lu1 0.679 0.679 0.357

***

Energies, relative to the best one, in kJ/mol of atoms: *1* 0.0; *2* 2.4.

***

*1*
# PmNdLu2, relaxed, DFT GGA-PBE
# Total magnetic moment, μB/atom: 0.000
data_PmNdLu2
_chemical_formula_sum 'Pm1 Nd1 Lu2'
_space_group_name_H-M_alt 'P 1'
_space_group_IT_number 1
_cell_length_a 3.570
_cell_length_b 3.570
_cell_length_c 11.671
_cell_angle_alpha 81.20
_cell_angle_beta 81.20
_cell_angle_gamma 60.00
loop_
_space_group_symop_operation_xyz
'x,y,z'
loop_
_atom_site_label
_atom_site_fract_x
_atom_site_fract_y
_atom_site_fract_z
Lu1 0.750 0.750 0.751
Lu2 0.250 0.250 0.249
Nd1 0.500 0.500 0.500
Pm1 0.000 0.000 0.000

***

*2*
# PmNdLu2, relaxed, DFT GGA-PBE
# Total magnetic moment, μB/atom: 0.042
data_PmNdLu2
_chemical_formula_sum 'Pm1 Nd1 Lu2'
_space_group_name_H-M_alt 'P 1'
_space_group_IT_number 1
_cell_length_a 5.673
_cell_length_b 5.673
_cell_length_c 5.673
_cell_angle_alpha 60.00
_cell_angle_beta 60.00
_cell_angle_gamma 60.00
loop_
_space_group_symop_operation_xyz
'x,y,z'
loop_
_atom_site_label
_atom_site_fract_x
_atom_site_fract_y
_atom_site_fract_z
Lu1 0.250 0.250 0.250
Lu2 0.750 0.750 0.750
Nd1 0.500 0.500 0.500
Pm1 0.000 0.000 0.000

***

Energies, relative to the best one, in kJ/mol of atoms: *1* 0.0; *2* 13.6.

***

*1*
# Pr2NdLu, relaxed, DFT GGA-PBE
# Total magnetic moment, μB/atom: 0.000
data_Pr2NdLu
_chemical_formula_sum 'Pr2 Nd1 Lu1'
_space_group_name_H-M_alt 'P 1'
_space_group_IT_number 1
_cell_length_a 5.129
_cell_length_b 5.151
_cell_length_c 5.151
_cell_angle_alpha 90.00
_cell_angle_beta 90.00
_cell_angle_gamma 90.00
loop_
_space_group_symop_operation_xyz
'x,y,z'
loop_
_atom_site_label
_atom_site_fract_x
_atom_site_fract_y
_atom_site_fract_z
Pr1 0.000 0.000 0.500
Pr2 0.000 0.500 0.000
Lu1 0.500 0.500 0.500
Nd1 0.500 0.000 0.000

***

*2*
# Pr2NdLu, relaxed, DFT GGA-PBE
# Total magnetic moment, μB/atom: 0.000
data_Pr2NdLu
_chemical_formula_sum 'Pr2 Nd1 Lu1'
_space_group_name_H-M_alt 'P 1'
_space_group_IT_number 1
_cell_length_a 5.792
_cell_length_b 5.792
_cell_length_c 5.792
_cell_angle_alpha 60.00
_cell_angle_beta 60.00
_cell_angle_gamma 60.00
loop_
_space_group_symop_operation_xyz
'x,y,z'
loop_
_atom_site_label
_atom_site_fract_x
_atom_site_fract_y
_atom_site_fract_z
Pr1 0.250 0.250 0.250
Pr2 0.750 0.750 0.750
Lu1 0.000 0.000 0.000
Nd1 0.500 0.500 0.500

***

Energies, relative to the best one, in kJ/mol of atoms: *1* 0.0; *2* 10.3.

***

*1*
# PrNdLu2, relaxed, DFT GGA-PBE
# Total magnetic moment, μB/atom: 0.000
data_PrNdLu2
_chemical_formula_sum 'Pr1 Nd1 Lu2'
_space_group_name_H-M_alt 'P 1'
_space_group_IT_number 1
_cell_length_a 4.922
_cell_length_b 5.125
_cell_length_c 5.125
_cell_angle_alpha 90.00
_cell_angle_beta 90.00
_cell_angle_gamma 90.00
loop_
_space_group_symop_operation_xyz
'x,y,z'
loop_
_atom_site_label
_atom_site_fract_x
_atom_site_fract_y
_atom_site_fract_z
Pr1 0.500 0.500 0.500
Lu1 0.000 0.000 0.500
Lu2 0.000 0.500 0.000
Nd1 0.500 0.000 0.000

***

*2*
# PrNdLu2, relaxed, DFT GGA-PBE
# Total magnetic moment, μB/atom: 0.000
data_PrNdLu2
_chemical_formula_sum 'Pr1 Nd1 Lu2'
_space_group_name_H-M_alt 'P 1'
_space_group_IT_number 1
_cell_length_a 5.699
_cell_length_b 5.699
_cell_length_c 5.699
_cell_angle_alpha 60.00
_cell_angle_beta 60.00
_cell_angle_gamma 60.00
loop_
_space_group_symop_operation_xyz
'x,y,z'
loop_
_atom_site_label
_atom_site_fract_x
_atom_site_fract_y
_atom_site_fract_z
Pr1 0.000 0.000 0.000
Lu1 0.250 0.250 0.250
Lu2 0.750 0.750 0.750
Nd1 0.500 0.500 0.500

***

Energies, relative to the best one, in kJ/mol of atoms: *1* 0.0; *2* 5.1.

***

*1*
# PrNd2Lu, relaxed, DFT GGA-PBE
# Total magnetic moment, μB/atom: 0.000
data_PrNd2Lu
_chemical_formula_sum 'Pr1 Nd2 Lu1'
_space_group_name_H-M_alt 'P 1'
_space_group_IT_number 1
_cell_length_a 3.639
_cell_length_b 3.639
_cell_length_c 10.267
_cell_angle_alpha 90.00
_cell_angle_beta 90.00
_cell_angle_gamma 90.00
loop_
_space_group_symop_operation_xyz
'x,y,z'
loop_
_atom_site_label
_atom_site_fract_x
_atom_site_fract_y
_atom_site_fract_z
Pr1 0.500 0.500 0.500
Lu1 0.500 0.500 0.000
Nd1 0.000 0.000 0.758
Nd2 0.000 0.000 0.242

***

*2*
# PrNd2Lu, relaxed, DFT GGA-PBE
# Total magnetic moment, μB/atom: 0.000
data_PrNd2Lu
_chemical_formula_sum 'Pr1 Nd2 Lu1'
_space_group_name_H-M_alt 'P 1'
_space_group_IT_number 1
_cell_length_a 3.540
_cell_length_b 3.540
_cell_length_c 12.797
_cell_angle_alpha 82.05
_cell_angle_beta 82.05
_cell_angle_gamma 60.00
loop_
_space_group_symop_operation_xyz
'x,y,z'
loop_
_atom_site_label
_atom_site_fract_x
_atom_site_fract_y
_atom_site_fract_z
Pr1 0.000 0.000 0.000
Lu1 0.500 0.500 0.500
Nd1 0.091 0.091 0.727
Nd2 0.909 0.909 0.273

***

*3*
# PrNd2Lu, relaxed, DFT GGA-PBE
# Total magnetic moment, μB/atom: 0.001
data_PrNd2Lu
_chemical_formula_sum 'Pr1 Nd2 Lu1'
_space_group_name_H-M_alt 'P 1'
_space_group_IT_number 1
_cell_length_a 5.781
_cell_length_b 5.781
_cell_length_c 5.781
_cell_angle_alpha 60.00
_cell_angle_beta 60.00
_cell_angle_gamma 60.00
loop_
_space_group_symop_operation_xyz
'x,y,z'
loop_
_atom_site_label
_atom_site_fract_x
_atom_site_fract_y
_atom_site_fract_z
Pr1 0.500 0.500 0.500
Lu1 0.000 0.000 0.000
Nd1 0.250 0.250 0.250
Nd2 0.750 0.750 0.750

***

Energies, relative to the best one, in kJ/mol of atoms: *1* 0.0; *2* 11.6; *3* 10.4.

***

*1*
# NdLu2Pt, relaxed, DFT GGA-PBE
# Total magnetic moment, μB/atom: 0.000
data_NdLu2Pt
_chemical_formula_sum 'Nd1 Lu2 Pt1'
_space_group_name_H-M_alt 'P 1'
_space_group_IT_number 1
_cell_length_a 3.824
_cell_length_b 3.824
_cell_length_c 9.604
_cell_angle_alpha 78.52
_cell_angle_beta 78.52
_cell_angle_gamma 60.00
loop_
_space_group_symop_operation_xyz
'x,y,z'
loop_
_atom_site_label
_atom_site_fract_x
_atom_site_fract_y
_atom_site_fract_z
Lu1 0.275 0.275 0.176
Lu2 0.725 0.725 0.824
Nd1 0.500 0.500 0.500
Pt1 0.000 0.000 0.000

***

*2*
# NdLu2Pt, relaxed, DFT GGA-PBE
# Total magnetic moment, μB/atom: 0.000
data_NdLu2Pt
_chemical_formula_sum 'Nd1 Lu2 Pt1'
_space_group_name_H-M_alt 'P 1'
_space_group_IT_number 1
_cell_length_a 3.504
_cell_length_b 3.504
_cell_length_c 8.530
_cell_angle_alpha 90.00
_cell_angle_beta 90.00
_cell_angle_gamma 90.00
loop_
_space_group_symop_operation_xyz
'x,y,z'
loop_
_atom_site_label
_atom_site_fract_x
_atom_site_fract_y
_atom_site_fract_z
Lu1 0.000 0.000 0.812
Lu2 0.000 0.000 0.188
Nd1 0.500 0.500 0.500
Pt1 0.500 0.500 0.000

***

Energies, relative to the best one, in kJ/mol of atoms: *1* 10.8; *2* 0.0.